Density functional theory data (PBE) for a relaxed B3PbW crystal.

Cell and atoms, written as CIF:
```
data_B3PbW
_chemical_formula_sum 'B3 Pb1 W1'
_space_group_name_H-M_alt 'P m -3 m'
_space_group_IT_number 221
_space_group_name_Hall '-P 4 2 3'
_cell_length_a 4.315
_cell_length_b 4.315
_cell_length_c 4.315
_cell_angle_alpha 90.00
_cell_angle_beta 90.00
_cell_angle_gamma 90.00
loop_
_atom_site_label
_atom_site_fract_x
_atom_site_fract_y
_atom_site_fract_z
B1 0.000 0.000 0.500
Pb1 0.500 0.500 0.500
W1 0.000 0.000 0.000
```

Density functional theory data (PBE) for a relaxed BPb3W crystal.

Cell and atoms, written as CIF:
```
data_BPb3W
_chemical_formula_sum 'B1 Pb3 W1'
_space_group_name_H-M_alt 'P m -3 m'
_space_group_IT_number 221
_space_group_name_Hall '-P 4 2 3'
_cell_length_a 5.412
_cell_length_b 5.412
_cell_length_c 5.412
_cell_angle_alpha 90.00
_cell_angle_beta 90.00
_cell_angle_gamma 90.00
loop_
_atom_site_label
_atom_site_fract_x
_atom_site_fract_y
_atom_site_fract_z
B1 0.000 0.000 0.000
Pb1 0.000 0.500 0.500
W1 0.500 0.500 0.500
```

Density functional theory data (PBE) for a relaxed BPbW3 crystal.

Cell and atoms, written as CIF:
```
data_BPbW3
_chemical_formula_sum 'B1 Pb1 W3'
_space_group_name_H-M_alt 'P m -3 m'
_space_group_IT_number 221
_space_group_name_Hall '-P 4 2 3'
_cell_length_a 4.316
_cell_length_b 4.316
_cell_length_c 4.316
_cell_angle_alpha 90.00
_cell_angle_beta 90.00
_cell_angle_gamma 90.00
loop_
_atom_site_label
_atom_site_fract_x
_atom_site_fract_y
_atom_site_fract_z
B1 0.000 0.000 0.000
Pb1 0.500 0.500 0.500
W1 0.000 0.000 0.500
```

Density functional theory data (PBE) for a relaxed BPbW2 crystal.

Cell and atoms, written as CIF:
```
data_BPbW2
_chemical_formula_sum 'B4 Pb4 W8'
_space_group_name_H-M_alt 'F m -3 m'
_space_group_IT_number 225
_space_group_name_Hall '-F 4 2 3'
_cell_length_a 6.314
_cell_length_b 6.314
_cell_length_c 6.314
_cell_angle_alpha 90.00
_cell_angle_beta 90.00
_cell_angle_gamma 90.00
loop_
_atom_site_label
_atom_site_fract_x
_atom_site_fract_y
_atom_site_fract_z
B1 0.000 0.000 0.000
Pb1 0.000 0.000 0.500
W1 0.250 0.250 0.250
```

Density functional theory data (PBE) for a relaxed B2PbW crystal.

Cell and atoms, written as CIF:
```
data_B2PbW
_chemical_formula_sum 'B8 Pb4 W4'
_space_group_name_H-M_alt 'I -4 2 d'
_space_group_IT_number 122
_space_group_name_Hall 'I -4 2bw'
_cell_length_a 5.322
_cell_length_b 5.322
_cell_length_c 10.076
_cell_angle_alpha 90.00
_cell_angle_beta 90.00
_cell_angle_gamma 90.00
loop_
_atom_site_label
_atom_site_fract_x
_atom_site_fract_y
_atom_site_fract_z
B1 0.195 0.250 0.125
Pb1 0.000 0.000 0.500
W1 0.000 0.000 0.000
```

Density functional theory data (PBE) for a relaxed BPbW2 crystal.

Cell and atoms, written as CIF:
```
data_BPbW2
_chemical_formula_sum 'B4 Pb4 W8'
_space_group_name_H-M_alt 'I -4 2 d'
_space_group_IT_number 122
_space_group_name_Hall 'I -4 2bw'
_cell_length_a 5.053
_cell_length_b 5.053
_cell_length_c 12.972
_cell_angle_alpha 90.00
_cell_angle_beta 90.00
_cell_angle_gamma 90.00
loop_
_atom_site_label
_atom_site_fract_x
_atom_site_fract_y
_atom_site_fract_z
B1 0.000 0.000 0.000
Pb1 0.000 0.000 0.500
W1 0.100 0.250 0.125
```

no.,DFT formation energy (kcal/mol of atoms),volume (Å³ per cell)
1,25.11,80.33
2,35.84,158.49
3,16.22,80.42
4,33.88,251.78
5,23.63,285.43
6,30.71,331.17